Record 1
# K2Dy2VO6, optimized geometry, DFT GGA+U
data_K2Dy2VO6
_cell_length_a 5.732
_cell_length_b 5.732
_cell_length_c 6.564
_cell_angle_alpha 97.43
_cell_angle_beta 97.43
_cell_angle_gamma 119.84
_symmetry_space_group_name_H-M 'P 1'
_symmetry_Int_Tables_number 1
loop_
_symmetry_equiv_pos_as_xyz
'x,y,z'
loop_
_atom_site_label
_atom_site_fract_x
_atom_site_fract_y
_atom_site_fract_z
O1 0.233 0.233 0.335
O2 0.641 0.953 0.328
O3 0.767 0.767 0.665
O4 0.047 0.359 0.672
O5 0.953 0.641 0.328
O6 0.359 0.047 0.672
V1 0.000 0.000 0.500
Dy1 0.667 0.333 0.500
Dy2 0.333 0.667 0.500
K1 0.838 0.162 0.000
K2 0.162 0.838 0.000
# size of the total moment	1.00	μB/cell
# raw total energy	-6.97	eV/atom
# space group	C2/m

=====

Record 2
# KDyV2O8, optimized geometry, DFT GGA+U
data_KDyV2O8
_cell_length_a 5.904
_cell_length_b 5.904
_cell_length_c 7.688
_cell_angle_alpha 90.00
_cell_angle_beta 90.00
_cell_angle_gamma 120.00
_symmetry_space_group_name_H-M 'P 1'
_symmetry_Int_Tables_number 1
loop_
_symmetry_equiv_pos_as_xyz
'x,y,z'
loop_
_atom_site_label
_atom_site_fract_x
_atom_site_fract_y
_atom_site_fract_z
O1 0.828 0.657 0.183
O2 0.343 0.172 0.183
O3 0.333 0.667 0.521
O4 0.172 0.343 0.817
O5 0.172 0.828 0.817
O6 0.657 0.828 0.817
O7 0.667 0.333 0.479
O8 0.828 0.172 0.183
V1 0.667 0.333 0.256
V2 0.333 0.667 0.744
Dy1 0.000 0.000 0.000
K1 0.000 0.000 0.500
# size of the total moment	2.02	μB/cell
# raw total energy	-6.99	eV/atom
# space group	P-3m1